A plane-wave DFT calculation with PBE-GGA was carried out for a geometry-optimized AcTb3In3 structure.

Computed properties:
As for the energy of formation: -2.4 eV per formula unit. The space group is No. 176. Its total energy is -28.63 eV per formula unit.

Cell lengths 5.249, 9.701, 9.701 Å; angles 120.00, 90.00, 90.00 degrees
Positions (direct):
Tb1 0.250 0.006 0.235
Tb2 0.250 0.765 0.771
Tb3 0.750 0.771 0.006
Tb4 0.750 0.235 0.229
Tb5 0.750 0.994 0.765
Tb6 0.250 0.229 0.994
In1 0.250 0.065 0.619
In2 0.750 0.619 0.554
In3 0.750 0.446 0.065
In4 0.750 0.935 0.381
In5 0.250 0.554 0.935
In6 0.250 0.381 0.446
Ac1 0.750 0.333 0.667
Ac2 0.250 0.667 0.333

***

A plane-wave DFT calculation with PBE-GGA was carried out for a geometry-optimized Ac14TbIn structure.

Computed properties:
As for the energy of formation: -0.4 eV per formula unit. The space group is No. 38. Its total energy is -65.24 eV per formula unit.

Cell lengths 7.811, 7.811, 11.121 Å; angles 90.00, 90.00, 90.00 degrees
Positions (direct):
Ac1 0.374 0.125 0.000
Ac2 0.124 0.374 0.242
Ac3 0.875 0.125 0.500
Ac4 0.124 0.876 0.758
Ac5 0.875 0.625 0.500
Ac6 0.626 0.876 0.242
Ac7 0.375 0.125 0.500
Ac8 0.124 0.876 0.242
Ac9 0.124 0.374 0.758
Ac10 0.375 0.625 0.500
Ac11 0.626 0.876 0.758
Ac12 0.626 0.374 0.759
Ac13 0.626 0.374 0.241
Ac14 0.875 0.626 0.000
In1 0.875 0.125 0.000
Tb1 0.375 0.625 0.000

***

A plane-wave DFT calculation with PBE-GGA was carried out for a geometry-optimized AcTbIn4 structure.

Computed properties:
The energy above the lowest structure with this stoichiometry comes out at 5.5 kJ/mol of formula units. As for the energy of formation: -2.1 eV per formula unit. The space group is No. 216. Its total energy is -21.84 eV per formula unit.

Cell lengths 6.174, 6.174, 6.174 Å; angles 60.00, 60.00, 60.00 degrees
Positions (direct):
In1 0.625 0.625 0.124
In2 0.625 0.625 0.625
In3 0.124 0.625 0.625
In4 0.625 0.124 0.625
Tb1 0.000 0.000 0.000
Ac1 0.250 0.250 0.250

***

A plane-wave DFT calculation with PBE-GGA was carried out for a geometry-optimized Ac3TbIn structure.

Computed properties:
As for the energy of formation: -0.5 eV per formula unit. The space group is No. 63. Its total energy is -20.24 eV per formula unit.

Cell lengths 5.265, 5.258, 13.642 Å; angles 90.00, 78.87, 90.00 degrees
Positions (direct):
Ac1 0.574 0.250 0.501
Ac2 0.383 0.250 0.882
Ac3 0.880 0.750 0.888
Ac4 0.768 0.250 0.112
Ac5 0.265 0.750 0.118
Ac6 0.074 0.750 0.499
In1 0.670 0.750 0.308
In2 0.978 0.250 0.692
Tb1 0.171 0.250 0.306
Tb2 0.477 0.750 0.694

***

A plane-wave DFT calculation with PBE-GGA was carried out for a geometry-optimized Ac2Tb3In4 structure.

Computed properties:
The energy above the lowest structure with this stoichiometry comes out at 87.8 kJ/mol of formula units. As for the energy of formation: -3.0 eV per formula unit. The space group is No. 64. Its total energy is -36.09 eV per formula unit.

Cell lengths 7.231, 9.230, 9.427 Å; angles 90.00, 112.55, 90.00 degrees
Positions (direct):
Tb1 0.500 0.500 0.000
Tb2 0.000 0.000 0.000
Tb3 0.530 0.750 0.561
Tb4 0.970 0.250 0.439
Tb5 0.470 0.250 0.439
Tb6 0.030 0.750 0.561
In1 0.318 0.462 0.636
In2 0.292 0.250 0.085
In3 0.208 0.750 0.915
In4 0.182 0.962 0.364
In5 0.792 0.250 0.085
In6 0.708 0.750 0.915
In7 0.818 0.038 0.636
In8 0.682 0.538 0.364
Ac1 0.390 0.079 0.780
Ac2 0.610 0.921 0.220
Ac3 0.890 0.421 0.780
Ac4 0.110 0.579 0.220

***

A plane-wave DFT calculation with PBE-GGA was carried out for a geometry-optimized AcTb12In6 structure.

Computed properties:
As for the energy of formation: -1.8 eV per formula unit. The space group is No. 166. Its total energy is -77.91 eV per formula unit.

Cell lengths 8.895, 8.895, 8.895 Å; angles 103.05, 103.05, 103.05 degrees
Positions (direct):
Tb1 0.551 0.551 0.820
Tb2 0.551 0.820 0.551
Tb3 0.123 0.500 0.877
Tb4 0.877 0.123 0.500
Tb5 0.820 0.551 0.551
Tb6 0.500 0.123 0.877
Tb7 0.449 0.180 0.449
Tb8 0.180 0.449 0.449
Tb9 0.123 0.877 0.500
Tb10 0.500 0.877 0.123
Tb11 0.449 0.449 0.180
Tb12 0.877 0.500 0.123
In1 0.700 0.242 0.242
In2 0.758 0.300 0.758
In3 0.758 0.758 0.300
In4 0.242 0.242 0.700
In5 0.242 0.700 0.242
In6 0.300 0.758 0.758
Ac1 0.000 0.000 0.000

***

A plane-wave DFT calculation with PBE-GGA was carried out for a geometry-optimized Ac2TbIn3Te6 structure.

Computed properties:
The space group is No. 12. Its formation energy from raw total energies is -12.24 eV/f.u. Its total energy is -52.16 eV per formula unit.

Cell lengths 8.081, 8.081, 8.537 Å; angles 99.08, 99.08, 119.90 degrees
Positions (direct):
Tb1 0.000 0.000 0.000
In1 0.169 0.831 0.500
In2 0.500 0.500 0.500
In3 0.831 0.169 0.500
Te1 0.391 0.076 0.227
Te2 0.238 0.238 0.769
Te3 0.924 0.609 0.773
Te4 0.076 0.391 0.227
Te5 0.762 0.762 0.231
Te6 0.609 0.924 0.773
Ac1 0.334 0.666 0.000
Ac2 0.666 0.334 0.000

***

A plane-wave DFT calculation with PBE-GGA was carried out for a geometry-optimized AcTbThIn structure.

Computed properties:
As for the energy of formation: 0.1 eV per formula unit. The space group is No. 216. Its total energy is -18.82 eV per formula unit.

Cell lengths 5.647, 5.647, 5.647 Å; angles 60.00, 60.00, 60.00 degrees
Positions (direct):
Ac1 0.750 0.750 0.750
Tb1 0.000 0.000 0.000
Th1 0.500 0.500 0.500
In1 0.250 0.250 0.250

***

A plane-wave DFT calculation with PBE-GGA was carried out for a geometry-optimized Ac3Tb2Tl4In2 structure.

Computed properties:
As for the energy of formation: -2.6 eV per formula unit. The space group is No. 164. Its total energy is -39.17 eV per formula unit.

Cell lengths 5.221, 5.221, 15.818 Å; angles 90.00, 90.00, 120.00 degrees
Positions (direct):
Tb1 0.667 0.333 0.435
Tb2 0.333 0.667 0.565
Tl1 0.667 0.333 0.106
Tl2 0.333 0.667 0.894
Tl3 0.667 0.333 0.631
Tl4 0.333 0.667 0.369
In1 0.667 0.333 0.847
In2 0.333 0.667 0.153
Ac1 0.000 0.000 0.265
Ac2 0.000 0.000 0.735
Ac3 0.000 0.000 0.000

***

A plane-wave DFT calculation with PBE-GGA was carried out for a geometry-optimized AcTbYIn structure.

Computed properties:
As for the energy of formation: -0.2 eV per formula unit. The space group is No. 216. Its total energy is -18.12 eV per formula unit.

Cell lengths 5.620, 5.620, 5.620 Å; angles 60.00, 60.00, 60.00 degrees
Positions (direct):
Ac1 0.250 0.250 0.250
Tb1 0.500 0.500 0.500
Y1 0.000 0.000 0.000
In1 0.750 0.750 0.750

***

A plane-wave DFT calculation with PBE-GGA was carried out for a geometry-optimized Ac2TbZn3In4 structure.

Computed properties:
As for the energy of formation: -3.4 eV per formula unit. The space group is No. 115. Its total energy is -31.02 eV per formula unit.

Cell lengths 4.656, 4.656, 12.362 Å; angles 90.00, 90.00, 90.00 degrees
Positions (direct):
Ac1 0.500 0.000 0.232
Ac2 0.000 0.500 0.768
Tb1 0.500 0.500 0.500
In1 0.500 0.500 0.000
In2 0.000 0.000 0.000
In3 0.000 0.500 0.345
In4 0.500 0.000 0.655
Zn1 0.500 0.000 0.871
Zn2 0.000 0.500 0.129
Zn3 0.000 0.000 0.500

***

A plane-wave DFT calculation with PBE-GGA was carried out for a geometry-optimized AcTb2Zn2In2 structure.

Computed properties:
As for the energy of formation: -2.1 eV per formula unit. The space group is No. 166. Its total energy is -23.47 eV per formula unit.

Cell lengths 4.784, 4.784, 9.998 Å; angles 76.16, 76.16, 60.00 degrees
Positions (direct):
In1 0.256 0.256 0.231
In2 0.744 0.744 0.769
Ac1 0.000 0.000 0.000
Tb1 0.868 0.868 0.395
Tb2 0.132 0.132 0.605
Zn1 0.421 0.421 0.737
Zn2 0.579 0.579 0.263

***

A plane-wave DFT calculation with PBE-GGA was carried out for a geometry-optimized AcTbZnIn structure.

Computed properties:
The energy above the lowest structure with this stoichiometry comes out at 16.9 kJ/mol of formula units. As for the energy of formation: -1.3 eV per formula unit. The space group is No. 216. Its total energy is -14.01 eV per formula unit.

Cell lengths 5.483, 5.483, 5.483 Å; angles 60.00, 60.00, 60.00 degrees
Positions (direct):
Zn1 0.000 0.000 0.000
Ac1 0.250 0.250 0.250
In1 0.500 0.500 0.500
Tb1 0.750 0.750 0.750

***

A plane-wave DFT calculation with PBE-GGA was carried out for a geometry-optimized AcTbZnIn structure.

Computed properties:
The energy above the lowest structure with this stoichiometry comes out at 0.0 kJ/mol of formula units. As for the energy of formation: -1.4 eV per formula unit. The space group is No. 99. Its total energy is -14.19 eV per formula unit.

Cell lengths 3.817, 3.817, 7.800 Å; angles 90.00, 90.00, 90.00 degrees
Positions (direct):
Tb1 0.500 0.500 0.587
In1 0.000 0.000 0.824
Ac1 0.500 0.500 0.123
Zn1 0.000 0.000 0.395

***

A plane-wave DFT calculation with PBE-GGA was carried out for a geometry-optimized Ac3InTc structure.

Computed properties:
The energy above the lowest structure with this stoichiometry comes out at 26.9 kJ/mol of formula units. As for the energy of formation: 0.0 eV per formula unit. The space group is No. 14. Its total energy is -25.40 eV per formula unit.

Cell lengths 7.826, 12.829, 14.255 Å; angles 90.00, 28.65, 90.00 degrees
Positions (direct):
In1 0.134 0.499 0.719
In2 0.634 0.001 0.219
In3 0.366 0.999 0.781
In4 0.866 0.501 0.281
Tc1 0.501 0.627 0.999
Tc2 0.999 0.127 0.501
Tc3 0.001 0.873 0.499
Tc4 0.499 0.373 0.001
Ac1 0.247 0.789 0.996
Ac2 0.505 0.500 0.818
Ac3 0.248 0.711 0.507
Ac4 0.495 0.500 0.182
Ac5 0.253 0.289 0.504
Ac6 0.753 0.211 0.004
Ac7 0.752 0.289 0.493
Ac8 0.252 0.211 0.993
Ac9 0.995 0.000 0.682
Ac10 0.748 0.789 0.007
Ac11 0.747 0.711 0.496
Ac12 0.005 0.000 0.318

***

A plane-wave DFT calculation with PBE-GGA was carried out for a geometry-optimized Ac4InTc structure.

Computed properties:
As for the energy of formation: -0.7 eV per formula unit. The space group is No. 15. Its total energy is -30.24 eV per formula unit.

Cell lengths 6.732, 8.581, 8.581 Å; angles 112.74, 100.34, 100.34 degrees
Positions (direct):
Ac1 0.551 0.277 0.945
Ac2 0.449 0.723 0.055
Ac3 0.949 0.055 0.723
Ac4 0.617 0.205 0.357
Ac5 0.882 0.643 0.795
Ac6 0.118 0.357 0.205
Ac7 0.051 0.945 0.277
Ac8 0.383 0.795 0.643
Tc1 0.250 0.002 0.998
Tc2 0.750 0.998 0.002
In1 0.750 0.623 0.377
In2 0.250 0.377 0.623

***

A plane-wave DFT calculation with PBE-GGA was carried out for a geometry-optimized Ac3InTc structure.

Computed properties:
The energy above the lowest structure with this stoichiometry comes out at 0.0 kJ/mol of formula units. As for the energy of formation: -0.2 eV per formula unit. The space group is No. 221. Its total energy is -25.68 eV per formula unit.

Cell lengths 5.661, 5.661, 5.661 Å; angles 90.00, 90.00, 90.00 degrees
Positions (direct):
Tc1 0.000 0.000 0.000
In1 0.500 0.500 0.500
Ac1 0.000 0.000 0.500
Ac2 0.000 0.500 0.000
Ac3 0.500 0.000 0.000

***

A plane-wave DFT calculation with PBE-GGA was carried out for a geometry-optimized AcInTe4 structure.

Computed properties:
The space group is No. 11. Its formation energy from raw total energies is -4.15 eV/f.u. Its total energy is -23.57 eV per formula unit.

Cell lengths 6.525, 8.284, 10.222 Å; angles 90.00, 90.00, 117.76 degrees
Positions (direct):
In1 0.205 0.804 0.250
In2 0.795 0.196 0.750
Te1 0.131 0.410 0.550
Te2 0.869 0.590 0.450
Te3 0.332 0.170 0.250
Te4 0.668 0.830 0.750
Te5 0.869 0.590 0.050
Te6 0.375 0.207 0.750
Te7 0.131 0.410 0.950
Te8 0.625 0.793 0.250
Ac1 0.124 0.750 0.750
Ac2 0.876 0.250 0.250

***

A plane-wave DFT calculation with PBE-GGA was carried out for a geometry-optimized Ac2InTe4 structure.

Computed properties:
The space group is No. 12. Its formation energy from raw total energies is -7.69 eV/f.u. Its total energy is -31.21 eV per formula unit.

Cell lengths 4.748, 8.476, 8.814 Å; angles 120.85, 105.63, 90.00 degrees
Positions (direct):
Te1 0.634 0.276 0.269
Te2 0.887 0.197 0.774
Te3 0.113 0.803 0.226
Te4 0.366 0.724 0.731
Ac1 0.273 0.262 0.546
Ac2 0.727 0.738 0.454
In1 0.000 0.000 0.000

***

A plane-wave DFT calculation with PBE-GGA was carried out for a geometry-optimized Ac3InTe2 structure.

Computed properties:
The space group is No. 15. Its formation energy from raw total energies is -6.82 eV/f.u. Its total energy is -28.17 eV per formula unit.

Cell lengths 8.243, 8.289, 8.289 Å; angles 119.54, 99.78, 99.78 degrees
Positions (direct):
In1 0.750 0.413 0.587
In2 0.250 0.587 0.413
Ac1 0.003 0.176 0.338
Ac2 0.000 0.500 0.000
Ac3 0.997 0.824 0.662
Ac4 0.497 0.662 0.824
Ac5 0.500 0.000 0.500
Ac6 0.503 0.338 0.176
Te1 0.250 0.917 0.083
Te2 0.750 0.083 0.917
Te3 0.750 0.754 0.246
Te4 0.250 0.246 0.754